Material: La3ZnSn3
Method: DFT, GGA-PBE
State: relaxed

Space-group type: C2/m, No. 12
Crystal system: monoclinic
ΔH_f (0 K) in meV per atom: -718
E_tot in eV per cell: -66.18

abc: 4.690 6.423 14.872
angles: 83.04 80.93 68.59
Atoms (fractional coordinates):
Sn  0.978  0.810  0.234
Sn  0.151  0.246  0.452
Sn  0.022  0.190  0.766
Sn  0.123  0.831  0.924
Sn  0.877  0.169  0.076
Sn  0.849  0.754  0.548
La  0.262  0.247  0.230
La  0.600  0.720  0.080
La  0.475  0.664  0.385
La  0.525  0.336  0.615
La  0.738  0.753  0.770
La  0.400  0.280  0.920
Zn  0.224  0.940  0.612
Zn  0.776  0.060  0.388